An optimized crystal structure of K2ZrTe8. Source: Alexandria, functional GGA-PBE.

Lattice parameters (Å, degrees): 7.2069 7.9951 11.1273 68.95 53.66 90.00
Positions (direct):
Te: 0.1653 0.9016 0.7301
Te: 0.8423 0.5561 0.8879
K: 0.3525 0.3230 0.3541
Te: 0.1577 0.4439 0.1121
Te: 0.4980 0.9324 0.1351
Te: 0.8347 0.6317 0.2699
Te: 0.8347 0.0984 0.2699
K: 0.6475 0.6770 0.6459
Zr: 0.0000 0.0000 0.0000
Te: 0.5020 0.0676 0.8649
Te: 0.1653 0.3683 0.7301

Calculated values
Uncorrected formation energy: -0.442 eV/atom
Symmetry: C2/m
DOS at the Fermi energy: 6.8 states/eV/f.u.
ρ: 4.3 g cm⁻³